[1]
# Th3ZnBi2

Th3ZnBi2 after structural relaxation (GGA-PBE, Alexandria).

Computed properties:
Formation enthalpy at 0 K in eV per atom: -0.3334
Electronic total energy in eV per atom: -5.549
D(E_F) in states/eV per cell: 19.865

The structure in POSCAR format:
```
Th3ZnBi2
1.0
13.173 0.000 0.000
0.000 4.454 0.000
0.000 0.000 12.246
Th Zn Bi
12 4 8
Direct
0.049 0.250 0.117 Th
0.122 0.750 0.552 Th
0.240 0.250 0.772 Th
0.260 0.750 0.272 Th
0.378 0.250 0.052 Th
0.451 0.750 0.617 Th
0.549 0.250 0.383 Th
0.622 0.750 0.948 Th
0.740 0.250 0.728 Th
0.760 0.750 0.228 Th
0.878 0.250 0.448 Th
0.951 0.750 0.883 Th
0.120 0.250 0.370 Zn
0.380 0.750 0.870 Zn
0.620 0.250 0.130 Zn
0.880 0.750 0.630 Zn
0.002 0.250 0.700 Bi
0.189 0.750 0.992 Bi
0.311 0.250 0.492 Bi
0.498 0.750 0.200 Bi
0.502 0.250 0.800 Bi
0.689 0.750 0.508 Bi
0.811 0.250 0.008 Bi
0.998 0.750 0.300 Bi
```



[2]
# Th4ZnBi

Th4ZnBi after structural relaxation (GGA-PBE, Alexandria).

Computed properties:
Formation enthalpy at 0 K in eV per atom: -0.2189
Electronic total energy in eV per atom: -6.025
D(E_F) in states/eV per cell: 12.649

The structure in POSCAR format:
```
Th4ZnBi
1.0
7.599 0.000 0.000
0.000 7.599 0.000
0.000 0.000 6.271
Th Zn Bi
8 2 2
Direct
0.144 0.333 0.000 Th
0.144 0.667 0.500 Th
0.333 0.144 0.500 Th
0.333 0.856 0.000 Th
0.667 0.144 0.000 Th
0.667 0.856 0.500 Th
0.856 0.333 0.500 Th
0.856 0.667 0.000 Th
0.000 0.000 0.250 Zn
0.000 0.000 0.750 Zn
0.500 0.500 0.250 Bi
0.500 0.500 0.750 Bi
```



[3]
# ThZn4Bi

ThZn4Bi after structural relaxation (GGA-PBE, Alexandria).

Computed properties:
Formation enthalpy at 0 K in eV per atom: -0.0374
Electronic total energy in eV per atom: -2.770
D(E_F) in states/eV per cell: 3.363

The structure in POSCAR format:
```
ThZn4Bi
1.0
0.000 3.983 3.983
3.983 0.000 3.983
3.983 3.983 0.000
Th Zn Bi
1 4 1
Direct
0.000 0.000 0.000 Th
0.376 0.376 0.376 Zn
0.376 0.376 0.873 Zn
0.376 0.873 0.376 Zn
0.873 0.376 0.376 Zn
0.750 0.750 0.750 Bi
```



[4]
# Th6ZnBi3

Th6ZnBi3 after structural relaxation (GGA-PBE, Alexandria).

Computed properties:
Formation enthalpy at 0 K in eV per atom: -0.1886
Electronic total energy in eV per atom: -5.932
D(E_F) in states/eV per cell: 23.919

The structure in POSCAR format:
```
Th6ZnBi3
1.0
5.346 -9.134 0.000
5.346 9.134 0.000
0.000 0.000 6.369
Th Zn Bi
12 2 6
Direct
0.010 0.990 0.500 Th
0.084 0.584 0.449 Th
0.236 0.384 0.756 Th
0.261 0.739 0.922 Th
0.384 0.236 0.256 Th
0.416 0.916 0.449 Th
0.584 0.084 0.949 Th
0.616 0.764 0.756 Th
0.739 0.261 0.422 Th
0.764 0.616 0.256 Th
0.916 0.416 0.949 Th
0.990 0.010 0.000 Th
0.137 0.863 0.225 Zn
0.863 0.137 0.725 Zn
0.085 0.298 0.270 Bi
0.298 0.085 0.770 Bi
0.418 0.582 0.251 Bi
0.582 0.418 0.751 Bi
0.702 0.915 0.270 Bi
0.915 0.702 0.770 Bi
```



[5]
# Th4ZnBi

Th4ZnBi after structural relaxation (GGA-PBE, Alexandria).

Computed properties:
Formation enthalpy at 0 K in eV per atom: 0.0397
Electronic total energy in eV per atom: -5.766
D(E_F) in states/eV per cell: 15.905

The structure in POSCAR format:
```
Th4ZnBi
1.0
8.200 -3.089 0.000
8.200 3.089 0.000
-2.262 0.000 7.423
Th Zn Bi
8 2 2
Direct
0.025 0.815 0.529 Th
0.185 0.975 0.971 Th
0.208 0.448 0.876 Th
0.448 0.208 0.376 Th
0.552 0.792 0.624 Th
0.792 0.552 0.124 Th
0.815 0.025 0.029 Th
0.975 0.185 0.471 Th
0.000 0.500 0.500 Zn
0.500 0.000 0.000 Zn
0.401 0.599 0.250 Bi
0.599 0.401 0.750 Bi
```



[6]
# ThZn2Bi

ThZn2Bi after structural relaxation (GGA-PBE, Alexandria).

Computed properties:
Formation enthalpy at 0 K in eV per atom: -0.2453
Electronic total energy in eV per atom: -3.707
D(E_F) in states/eV per cell: 1.830

The structure in POSCAR format:
```
ThZn2Bi
1.0
4.605 0.000 0.000
0.000 4.605 0.000
0.000 0.000 4.556
Th Zn Bi
1 2 1
Direct
0.000 0.000 0.000 Th
0.000 0.500 0.500 Zn
0.500 0.000 0.500 Zn
0.500 0.500 0.000 Bi
```



[7]
# ThZrBi2

ThZrBi2 after structural relaxation (GGA-PBE, Alexandria).

Computed properties:
Formation enthalpy at 0 K in eV per atom: -0.3631
Electronic total energy in eV per atom: -6.296
D(E_F) in states/eV per cell: 3.373

The structure in POSCAR format:
```
ThZrBi2
1.0
2.235 1.290 7.071
-2.235 1.290 7.071
0.000 -2.581 7.071
Th Zr Bi
1 1 2
Direct
0.000 0.000 0.000 Th
0.500 0.500 0.500 Zr
0.242 0.242 0.242 Bi
0.758 0.758 0.758 Bi
```



[8]
# ThZrBi

ThZrBi after structural relaxation (GGA-PBE, Alexandria).

Computed properties:
Formation enthalpy at 0 K in eV per atom: -0.2142
Electronic total energy in eV per atom: -6.831
D(E_F) in states/eV per cell: 2.684

The structure in POSCAR format:
```
ThZrBi
1.0
-1.926 1.926 5.774
1.926 -1.926 5.774
1.926 1.926 -5.774
Th Zr Bi
1 1 1
Direct
0.000 0.000 0.000 Th
0.318 0.318 0.000 Zr
0.694 0.694 0.000 Bi
```



[9]
# ThZrBi

ThZrBi after structural relaxation (GGA-PBE, Alexandria).

Computed properties:
Formation enthalpy at 0 K in eV per atom: -0.1424
Electronic total energy in eV per atom: -6.759
D(E_F) in states/eV per cell: 7.942

The structure in POSCAR format:
```
ThZrBi
1.0
4.314 0.000 0.000
0.000 4.314 0.000
0.000 0.000 9.819
Th Zr Bi
2 2 2
Direct
0.250 0.250 0.227 Th
0.750 0.750 0.773 Th
0.250 0.250 0.557 Zr
0.750 0.750 0.443 Zr
0.250 0.250 0.879 Bi
0.750 0.750 0.121 Bi
```



[10]
# ThZr5Bi4

ThZr5Bi4 after structural relaxation (GGA-PBE, Alexandria).

Computed properties:
Formation enthalpy at 0 K in eV per atom: -0.0422
Electronic total energy in eV per atom: -6.611
D(E_F) in states/eV per cell: 19.727

The structure in POSCAR format:
```
ThZr5Bi4
1.0
9.946 0.000 0.000
0.000 10.237 0.000
0.000 0.000 5.643
Th Zr Bi
2 10 8
Direct
0.250 0.250 0.014 Th
0.750 0.750 0.986 Th
0.008 0.509 0.754 Zr
0.008 0.991 0.754 Zr
0.250 0.750 0.523 Zr
0.492 0.509 0.754 Zr
0.492 0.991 0.754 Zr
0.508 0.009 0.246 Zr
0.508 0.491 0.246 Zr
0.750 0.250 0.477 Zr
0.992 0.009 0.246 Zr
0.992 0.491 0.246 Zr
0.067 0.250 0.517 Bi
0.250 0.590 0.030 Bi
0.250 0.910 0.030 Bi
0.433 0.250 0.517 Bi
0.567 0.750 0.483 Bi
0.750 0.090 0.970 Bi
0.750 0.410 0.970 Bi
0.933 0.750 0.483 Bi
```



[11]
# ThZr2Bi

ThZr2Bi after structural relaxation (GGA-PBE, Alexandria).

Computed properties:
Formation enthalpy at 0 K in eV per atom: -0.2054
Electronic total energy in eV per atom: -7.305
D(E_F) in states/eV per cell: 4.384

The structure in POSCAR format:
```
ThZr2Bi
1.0
4.962 0.000 0.000
0.000 4.962 0.000
0.000 0.000 4.094
Th Zr Bi
1 2 1
Direct
0.000 0.000 0.000 Th
0.000 0.500 0.500 Zr
0.500 0.000 0.500 Zr
0.500 0.500 0.000 Bi
```



[12]
# ThZr4Bi4

ThZr4Bi4 after structural relaxation (GGA-PBE, Alexandria).

Computed properties:
Formation enthalpy at 0 K in eV per atom: -0.0580
Electronic total energy in eV per atom: -6.406
D(E_F) in states/eV per cell: 6.286

The structure in POSCAR format:
```
ThZr4Bi4
1.0
-4.943 4.943 2.883
4.943 -4.943 2.883
4.943 4.943 -2.883
Th Zr Bi
1 4 4
Direct
0.000 0.000 0.000 Th
0.121 0.408 0.528 Zr
0.408 0.879 0.287 Zr
0.592 0.121 0.713 Zr
0.879 0.592 0.472 Zr
0.153 0.711 0.864 Bi
0.289 0.153 0.442 Bi
0.711 0.847 0.558 Bi
0.847 0.289 0.136 Bi
```



[13]
# ThZrBi

ThZrBi after structural relaxation (GGA-PBE, Alexandria).

Computed properties:
Formation enthalpy at 0 K in eV per atom: -0.3072
Electronic total energy in eV per atom: -6.924
D(E_F) in states/eV per cell: 4.765

The structure in POSCAR format:
```
ThZrBi
1.0
5.949 -2.005 0.000
5.949 2.005 0.000
-4.067 0.000 7.345
Th Zr Bi
2 2 2
Direct
0.060 0.060 0.315 Th
0.940 0.940 0.685 Th
0.355 0.355 0.960 Zr
0.645 0.645 0.040 Zr
0.332 0.332 0.313 Bi
0.668 0.668 0.687 Bi
```



[14]
# ThZrBi

ThZrBi after structural relaxation (GGA-PBE, Alexandria).

Computed properties:
Formation enthalpy at 0 K in eV per atom: -0.3936
Electronic total energy in eV per atom: -7.010
D(E_F) in states/eV per cell: 6.690

The structure in POSCAR format:
```
ThZrBi
1.0
4.421 0.000 0.000
0.000 4.421 0.000
0.000 0.000 8.750
Th Zr Bi
2 2 2
Direct
0.250 0.250 0.140 Th
0.750 0.750 0.860 Th
0.250 0.750 0.500 Zr
0.750 0.250 0.500 Zr
0.250 0.250 0.750 Bi
0.750 0.750 0.250 Bi
```



[15]
# ThZr2Bi

ThZr2Bi after structural relaxation (GGA-PBE, Alexandria).

Computed properties:
Formation enthalpy at 0 K in eV per atom: -0.0728
Electronic total energy in eV per atom: -7.172
D(E_F) in states/eV per cell: 5.221

The structure in POSCAR format:
```
ThZr2Bi
1.0
0.000 3.688 3.688
3.688 0.000 3.688
3.688 3.688 0.000
Th Zr Bi
1 2 1
Direct
0.000 0.000 0.000 Th
0.250 0.250 0.250 Zr
0.750 0.750 0.750 Zr
0.500 0.500 0.500 Bi
```



[16]
# ThZrBi

ThZrBi after structural relaxation (GGA-PBE, Alexandria).

Computed properties:
Formation enthalpy at 0 K in eV per atom: -0.0312
Electronic total energy in eV per atom: -6.648
D(E_F) in states/eV per cell: 5.779

The structure in POSCAR format:
```
ThZrBi
1.0
5.281 0.000 0.000
-2.641 4.574 0.000
0.000 0.000 3.543
Th Zr Bi
1 1 1
Direct
0.000 0.000 0.000 Th
0.333 0.667 0.500 Zr
0.667 0.333 0.500 Bi
```



[17]
# ThZrBi2

ThZrBi2 after structural relaxation (GGA-PBE, Alexandria).

Computed properties:
Formation enthalpy at 0 K in eV per atom: -0.3530
Electronic total energy in eV per atom: -6.286
D(E_F) in states/eV per cell: 1.368

The structure in POSCAR format:
```
ThZrBi2
1.0
2.158 1.246 7.669
-2.158 1.246 7.669
0.000 -2.492 7.669
Th Zr Bi
1 1 2
Direct
0.000 0.000 0.000 Th
0.826 0.826 0.826 Zr
0.420 0.420 0.420 Bi
0.573 0.573 0.573 Bi
```



[18]
# ThZrBi3

ThZrBi3 after structural relaxation (GGA-PBE, Alexandria).

Computed properties:
Formation enthalpy at 0 K in eV per atom: -0.4183
Electronic total energy in eV per atom: -5.940
D(E_F) in states/eV per cell: 9.347

The structure in POSCAR format:
```
ThZrBi3
1.0
13.718 0.000 0.000
0.000 6.736 0.000
0.000 0.000 6.516
Th Zr Bi
4 4 12
Direct
0.183 0.006 0.250 Th
0.183 0.494 0.750 Th
0.817 0.506 0.250 Th
0.817 0.994 0.750 Th
0.408 0.750 0.000 Zr
0.408 0.750 0.500 Zr
0.592 0.250 0.000 Zr
0.592 0.250 0.500 Zr
0.002 0.750 0.000 Bi
0.002 0.750 0.500 Bi
0.253 0.513 0.250 Bi
0.253 0.987 0.750 Bi
0.419 0.120 0.250 Bi
0.419 0.380 0.750 Bi
0.581 0.620 0.250 Bi
0.581 0.880 0.750 Bi
0.747 0.013 0.250 Bi
0.747 0.487 0.750 Bi
0.998 0.250 0.000 Bi
0.998 0.250 0.500 Bi
```



[19]
# ThZr2Bi2

ThZr2Bi2 after structural relaxation (GGA-PBE, Alexandria).

Computed properties:
Formation enthalpy at 0 K in eV per atom: -0.1416
Electronic total energy in eV per atom: -6.597
D(E_F) in states/eV per cell: 8.392

The structure in POSCAR format:
```
ThZr2Bi2
1.0
4.849 -6.090 0.000
4.849 6.090 0.000
-3.245 0.000 4.997
Th Zr Bi
2 4 4
Direct
0.093 0.907 0.750 Th
0.907 0.093 0.250 Th
0.237 0.397 0.034 Zr
0.397 0.237 0.534 Zr
0.603 0.763 0.466 Zr
0.763 0.603 0.966 Zr
0.198 0.802 0.250 Bi
0.366 0.634 0.750 Bi
0.634 0.366 0.250 Bi
0.802 0.198 0.750 Bi
```



[20]
# ThZrBi2

ThZrBi2 after structural relaxation (GGA-PBE, Alexandria).

Computed properties:
Formation enthalpy at 0 K in eV per atom: -0.1428
Electronic total energy in eV per atom: -6.075
D(E_F) in states/eV per cell: 11.176

The structure in POSCAR format:
```
ThZrBi2
1.0
3.054 -7.498 0.000
3.054 7.498 0.000
-2.825 0.000 5.345
Th Zr Bi
2 2 4
Direct
0.103 0.897 0.750 Th
0.897 0.103 0.250 Th
0.257 0.743 0.250 Zr
0.743 0.257 0.750 Zr
0.230 0.417 0.889 Bi
0.417 0.230 0.389 Bi
0.583 0.770 0.611 Bi
0.770 0.583 0.111 Bi
```